(1)
A relaxed LiNiTeAuS2 crystal, computed with PBE.

abc: 7.289 7.289 10.141
angles: 90.00 90.00 153.60
Sites, in units of the cell vectors:
Li1 0.223 0.777 0.750
Li2 0.777 0.223 0.250
Ni1 0.500 0.500 0.000
Ni2 0.500 0.500 0.500
Te1 0.434 0.566 0.250
Te2 0.566 0.434 0.750
Au1 0.131 0.869 0.250
Au2 0.869 0.131 0.750
S1 0.109 0.891 0.021
S2 0.109 0.891 0.479
S3 0.891 0.109 0.521
S4 0.891 0.109 0.979

Output
**E_tot**: -3.99 eV/atom
**Magnetic moment**: 0.01 μB/f.u.

***

(2)
A relaxed Li4NiSb2Au crystal, computed with PBE.

abc: 4.471 4.471 6.380
angles: 90.00 90.00 90.00
Sites, in units of the cell vectors:
Li1 0.000 0.000 0.000
Li2 0.000 0.500 0.245
Li3 0.500 0.000 0.755
Li4 0.500 0.500 0.500
Ni1 0.500 0.500 0.000
Sb1 0.000 0.500 0.775
Sb2 0.500 0.000 0.225
Au1 0.000 0.000 0.500

Output
**E_tot**: -3.60 eV/atom
**Magnetic moment**: 0.00 μB/f.u.

***

(3)
A relaxed LiNiTe2AuSe crystal, computed with PBE.

abc: 6.809 6.809 10.463
angles: 90.00 90.00 147.86
Sites, in units of the cell vectors:
Li1 0.219 0.781 0.750
Li2 0.781 0.219 0.250
Ni1 0.500 0.500 0.000
Ni2 0.500 0.500 0.500
Te1 0.132 0.868 0.000
Te2 0.132 0.868 0.500
Te3 0.868 0.132 0.000
Te4 0.868 0.132 0.500
Au1 0.130 0.870 0.250
Au2 0.870 0.130 0.750
Se1 0.443 0.557 0.250
Se2 0.557 0.443 0.750

Output
**E_tot**: -3.66 eV/atom
**Magnetic moment**: 0.00 μB/f.u.

***

Which value of E_tot does entry 3 give?
-3.66 eV/atom

***

What is the E_tot in the third record?
-3.66 eV/atom